No. 1
# Mn2OsCl | Alexandria | PBE | relaxed
# ΔE_f (raw) = 0.34 eV/atom
# Distance to the lowest polymorph of the same formula = 262 meV per atom
# Total DFT energy (no corrections) = -90.125 eV for the cell shown
# Fermi-level density of states = 2.8 states/eV/f.u.
data_Mn2OsCl
_cell_length_a 2.8337
_cell_length_b 2.8337
_cell_length_c 25.7835
_cell_angle_alpha 90.00
_cell_angle_beta 90.00
_cell_angle_gamma 120.00
_space_group_name_H-M_alt 'R 3 m'
_space_group_IT_number 160
_space_group_name_Hall 'R 3 -2"'
loop_
_atom_site_label
_atom_site_type_symbol
_atom_site_fract_x
_atom_site_fract_y
_atom_site_fract_z
_atom_site_occupancy
Mn1 Mn 0.0000 0.0000 0.0000 1
Mn2 Mn 0.0000 0.0000 0.2552 1
Os1 Os 0.0000 0.0000 0.5152 1
Cl1 Cl 0.0000 0.0000 0.7336 1

---

No. 2
# RbPm6Se8 | Alexandria | PBE | relaxed
# ΔE_f (raw) = -1.74 eV/atom
# Total DFT energy (no corrections) = -83.445 eV for the cell shown
# Fermi-level density of states = 11.2 states/eV/f.u.
data_RbPm6Se8
_cell_length_a 11.3672
_cell_length_b 11.3672
_cell_length_c 4.2785
_cell_angle_alpha 90.00
_cell_angle_beta 90.00
_cell_angle_gamma 120.00
_space_group_name_H-M_alt 'P -3'
_space_group_IT_number 147
loop_
_space_group_symop_operation_xyz
'x,y,z'
'-x,-y,-z'
'-y,x-y,z'
'y,-x+y,-z'
'-x+y,-x,z'
'x-y,x,-z'
loop_
_atom_site_label
_atom_site_type_symbol
_atom_site_fract_x
_atom_site_fract_y
_atom_site_fract_z
_atom_site_occupancy
Rb1 Rb 0.0000 0.0000 0.0000 1
Pm1 Pm 0.1383 0.6579 0.2508 1
Se1 Se 0.0460 0.3591 0.2487 1
Se2 Se 0.3333 0.6667 0.7508 1

---

No. 3
# Ca2LaCdNi | Alexandria | PBE | relaxed
# Total DFT energy (no corrections) = -16.355 eV for the cell shown
# Fermi-level density of states = 4.5 states/eV/f.u.
# DFT formation energy = -0.15 eV/atom
data_Ca2LaCdNi
_cell_length_a 5.517
_cell_length_b 5.517
_cell_length_c 5.256
_cell_angle_alpha 90.00
_cell_angle_beta 90.00
_cell_angle_gamma 90.00
_space_group_name_H-M_alt 'P 4/m m m'
_space_group_IT_number 123
_space_group_name_Hall '-P 4 2'
loop_
_atom_site_label
_atom_site_type_symbol
_atom_site_fract_x
_atom_site_fract_y
_atom_site_fract_z
_atom_site_occupancy
Ca1 Ca 0.000 0.500 0.000 1
La1 La 0.000 0.000 0.500 1
Cd1 Cd 0.500 0.500 0.500 1
Ni1 Ni 0.000 0.000 0.000 1

---

No. 4
# SmPuPt | Alexandria | PBE | relaxed
# Distance to the lowest polymorph of the same formula = 0 meV per atom
# Total DFT energy (no corrections) = -326.150 eV for the cell shown
# Fermi-level density of states = 6.3 states/eV/f.u.
# DFT formation energy = -0.70 eV/atom
data_SmPuPt
_cell_length_a 9.630
_cell_length_b 12.777
_cell_length_c 7.382
_cell_angle_alpha 90.00
_cell_angle_beta 90.00
_cell_angle_gamma 90.00
_space_group_name_H-M_alt 'I m a 2'
_space_group_IT_number 46
loop_
_space_group_symop_operation_xyz
'x,y,z'
'-x,-y,z'
'-x+1/2,y,z'
'x+1/2,-y,z'
'x+1/2,y+1/2,z+1/2'
'-x+1/2,-y+1/2,z+1/2'
'-x,y+1/2,z+1/2'
'x,-y+1/2,z+1/2'
loop_
_atom_site_label
_atom_site_type_symbol
_atom_site_fract_x
_atom_site_fract_y
_atom_site_fract_z
_atom_site_occupancy
Sm1 Sm 0.250 0.000 0.000 1
Sm2 Sm 0.250 0.208 0.626 1
Sm3 Sm 0.250 0.709 0.126 1
Pu1 Pu 0.000 0.000 0.666 1
Pu2 Pu 0.001 0.124 0.293 1
Pt1 Pt 0.000 0.167 0.917 1
Pt2 Pt 0.250 0.502 0.917 1

---

Copy entry 1 word for word.
# Mn2OsCl | Alexandria | PBE | relaxed
# ΔE_f (raw) = 0.34 eV/atom
# Distance to the lowest polymorph of the same formula = 262 meV per atom
# Total DFT energy (no corrections) = -90.125 eV for the cell shown
# Fermi-level density of states = 2.8 states/eV/f.u.
data_Mn2OsCl
_cell_length_a 2.8337
_cell_length_b 2.8337
_cell_length_c 25.7835
_cell_angle_alpha 90.00
_cell_angle_beta 90.00
_cell_angle_gamma 120.00
_space_group_name_H-M_alt 'R 3 m'
_space_group_IT_number 160
_space_group_name_Hall 'R 3 -2"'
loop_
_atom_site_label
_atom_site_type_symbol
_atom_site_fract_x
_atom_site_fract_y
_atom_site_fract_z
_atom_site_occupancy
Mn1 Mn 0.0000 0.0000 0.0000 1
Mn2 Mn 0.0000 0.0000 0.2552 1
Os1 Os 0.0000 0.0000 0.5152 1
Cl1 Cl 0.0000 0.0000 0.7336 1